No. 1
VASP calculation (PBE-GGA) on an optimized crystal structure of BOs2W.

Values from the calculation:
Energy of formation (eV per atom): 0.084
Space group: P4/mmm, No. 123

a = 2.770 Å, b = 2.770 Å, c = 6.621 Å
α = 90.00°, β = 90.00°, γ = 90.00°
Element x y z (fractional)
B (0.500, 0.500, 0.000)
Os (0.000, 0.000, 0.200)
Os (0.000, 0.000, 0.800)
W (0.500, 0.500, 0.500)

***

No. 2
VASP calculation (PBE-GGA) on an optimized crystal structure of Na8TlCd3.

Values from the calculation:
Energy of formation (eV per atom): 0.045
Space group: Fmmm, No. 69

a = 9.295 Å, b = 9.304 Å, c = 9.296 Å
α = 46.93°, β = 111.52°, γ = 133.07°
Element x y z (fractional)
Na (0.626, 0.000, 0.875)
Na (0.627, 0.502, 0.373)
Na (0.374, 0.000, 0.124)
Na (0.125, 0.000, 0.374)
Na (0.876, 0.000, 0.626)
Na (0.875, 0.502, 0.125)
Na (0.124, 0.498, 0.875)
Na (0.374, 0.498, 0.627)
Cd (0.750, 0.500, 0.750)
Cd (0.250, 0.500, 0.250)
Cd (0.500, 0.000, 0.500)
Tl (0.000, 0.000, 0.000)

***

No. 3
VASP calculation (PBE-GGA) on an optimized crystal structure of KPu4Se6.

Values from the calculation:
Space group: Cmcm, No. 63
ΔE_f (raw) (meV/atom): -1467

a = 4.190 Å, b = 7.246 Å, c = 21.652 Å
α = 90.00°, β = 90.00°, γ = 106.81°
Element x y z (fractional)
Se (0.963, 0.927, 0.655)
Se (0.772, 0.544, 0.081)
Se (0.772, 0.544, 0.419)
Se (0.228, 0.456, 0.581)
Se (0.660, 0.319, 0.750)
Se (0.963, 0.927, 0.845)
Se (0.228, 0.456, 0.919)
Se (0.340, 0.681, 0.250)
Se (0.500, 0.000, 0.000)
Se (0.500, 0.000, 0.500)
Se (0.037, 0.073, 0.345)
Se (0.037, 0.073, 0.155)
Pu (0.595, 0.191, 0.630)
Pu (0.136, 0.272, 0.042)
Pu (0.864, 0.728, 0.542)
Pu (0.405, 0.809, 0.130)
Pu (0.864, 0.728, 0.958)
Pu (0.405, 0.809, 0.370)
Pu (0.136, 0.272, 0.458)
Pu (0.595, 0.191, 0.870)
K (0.340, 0.680, 0.750)
K (0.660, 0.320, 0.250)

***

No. 4
VASP calculation (PBE-GGA) on an optimized crystal structure of LaIr3Pb.

Values from the calculation:
Energy of formation (eV per atom): 1.007
Polymorph energy (0 for the lowest one) (meV/atom): 0.0
Space group: Pm-3m, No. 221

a = 5.000 Å, b = 5.000 Å, c = 5.000 Å
α = 90.00°, β = 90.00°, γ = 90.00°
Element x y z (fractional)
Ir (0.000, 0.500, 0.000)
Ir (0.500, 0.000, 0.000)
Ir (0.000, 0.000, 0.500)
Pb (0.000, 0.000, 0.000)
La (0.500, 0.500, 0.500)

***

No. 5
VASP calculation (PBE-GGA) on an optimized crystal structure of NdCuSnPt.

Values from the calculation:
Energy of formation (eV per atom): -0.612
Space group: F-43m, No. 216

a = 4.863 Å, b = 4.863 Å, c = 4.863 Å
α = 60.00°, β = 60.00°, γ = 60.00°
Element x y z (fractional)
Nd (0.000, 0.000, 0.000)
Cu (0.250, 0.250, 0.250)
Pt (0.750, 0.750, 0.750)
Sn (0.500, 0.500, 0.500)

***

No. 6
VASP calculation (PBE-GGA) on an optimized crystal structure of TbCd3Ag3.

Values from the calculation:
Energy of formation (eV per atom): -0.140
Polymorph energy (0 for the lowest one) (meV/atom): 0.0
Space group: R-3, No. 148

a = 7.363 Å, b = 7.363 Å, c = 7.779 Å
α = 61.76°, β = 61.76°, γ = 60.00°
Element x y z (fractional)
Tb (0.657, 0.657, 0.030)
Tb (0.343, 0.343, 0.970)
Ag (0.824, 0.286, 0.821)
Ag (0.931, 0.176, 0.179)
Ag (0.069, 0.824, 0.821)
Ag (0.176, 0.714, 0.179)
Ag (0.714, 0.931, 0.179)
Ag (0.286, 0.069, 0.821)
Cd (0.081, 0.562, 0.628)
Cd (0.562, 0.729, 0.628)
Cd (0.729, 0.081, 0.628)
Cd (0.271, 0.919, 0.372)
Cd (0.919, 0.438, 0.372)
Cd (0.438, 0.271, 0.372)

***

No. 7
VASP calculation (PBE-GGA) on an optimized crystal structure of Ba2UIrSe6.

Values from the calculation:
Space group: I4mm, No. 107
ΔE_f (raw) (meV/atom): -1184

a = 7.334 Å, b = 7.334 Å, c = 7.334 Å
α = 120.00°, β = 120.00°, γ = 90.00°
Element x y z (fractional)
Se (0.240, 0.760, 0.000)
Se (0.760, 0.240, 0.999)
Se (0.240, 0.240, 0.999)
Se (0.760, 0.760, 0.519)
Se (0.240, 0.240, 0.480)
Se (0.760, 0.761, 0.000)
Ba (0.750, 0.251, 0.501)
Ba (0.250, 0.751, 0.501)
U (0.500, 0.500, 0.000)
Ir (0.000, 0.000, 0.000)

***

No. 8
VASP calculation (PBE-GGA) on an optimized crystal structure of YMg2GeH.

Values from the calculation:
Space group: P4/mmm, No. 123
Total energy (eV/atom): -3.842

a = 4.405 Å, b = 4.405 Å, c = 4.503 Å
α = 90.00°, β = 90.00°, γ = 90.00°
Element x y z (fractional)
H (0.000, 0.000, 0.000)
Mg (0.000, 0.500, 0.000)
Mg (0.500, 0.000, 0.000)
Y (0.000, 0.000, 0.500)
Ge (0.500, 0.500, 0.500)

***

No. 9
VASP calculation (PBE-GGA) on an optimized crystal structure of Nb3Fe8Ir.

Values from the calculation:
Energy of formation (eV per atom): -0.172
Polymorph energy (0 for the lowest one) (meV/atom): 0.0
Space group: R3m, No. 160

a = 4.796 Å, b = 4.796 Å, c = 8.285 Å
α = 73.18°, β = 73.18°, γ = 60.00°
Element x y z (fractional)
Fe (0.938, 0.436, 0.688)
Fe (0.437, 0.940, 0.185)
Fe (0.940, 0.437, 0.185)
Fe (0.436, 0.938, 0.688)
Fe (0.938, 0.938, 0.688)
Fe (0.688, 0.688, 0.936)
Fe (0.188, 0.188, 0.437)
Fe (0.437, 0.437, 0.185)
Ir (0.872, 0.872, 0.383)
Nb (0.994, 0.994, 0.017)
Nb (0.504, 0.504, 0.487)
Nb (0.377, 0.377, 0.870)

***

No. 10
VASP calculation (PBE-GGA) on an optimized crystal structure of Li2Mg3Ag.

Values from the calculation:
Energy of formation (eV per atom): -0.104
Polymorph energy (0 for the lowest one) (meV/atom): 31.4
Space group: C2/c, No. 15

a = 5.799 Å, b = 5.476 Å, c = 7.967 Å
α = 95.75°, β = 111.34°, γ = 90.00°
Element x y z (fractional)
Ag (0.855, 0.750, 0.000)
Ag (0.145, 0.250, 0.000)
Mg (0.953, 0.928, 0.673)
Mg (0.280, 0.572, 0.327)
Mg (0.640, 0.250, 0.000)
Mg (0.047, 0.072, 0.327)
Mg (0.720, 0.428, 0.673)
Mg (0.360, 0.750, 0.000)
Li (0.546, 0.094, 0.336)
Li (0.454, 0.906, 0.664)
Li (0.210, 0.406, 0.664)
Li (0.790, 0.594, 0.336)

***

No. 11
VASP calculation (PBE-GGA) on an optimized crystal structure of CaTbTm2Bi4.

Values from the calculation:
Energy of formation (eV per atom): -0.776
Space group: P2/m, No. 10

a = 4.458 Å, b = 7.795 Å, c = 7.811 Å
α = 109.07°, β = 90.00°, γ = 90.00°
Element x y z (fractional)
Ca (0.500, 0.500, 0.000)
Bi (0.500, 0.250, 0.256)
Bi (0.500, 0.750, 0.744)
Bi (0.000, 0.756, 0.259)
Bi (0.000, 0.244, 0.741)
Tb (0.000, 0.000, 0.000)
Tm (0.000, 0.500, 0.500)
Tm (0.500, 0.000, 0.500)

***

No. 12
VASP calculation (PBE-GGA) on an optimized crystal structure of KCaHg2.

Values from the calculation:
Energy of formation (eV per atom): -0.254
Polymorph energy (0 for the lowest one) (meV/atom): 87.9
Space group: Cm, No. 8

a = 6.391 Å, b = 6.391 Å, c = 5.682 Å
α = 76.95°, β = 76.95°, γ = 33.79°
Element x y z (fractional)
Hg (0.732, 0.732, 0.713)
Hg (0.014, 0.014, 0.047)
K (0.481, 0.481, 0.562)
Ca (0.272, 0.272, 0.177)

***

No. 13
VASP calculation (PBE-GGA) on an optimized crystal structure of Pm3Nd8Tm4.

Values from the calculation:
Energy of formation (eV per atom): 0.332
Space group: C2/m, No. 12

a = 6.880 Å, b = 9.408 Å, c = 9.408 Å
α = 81.60°, β = 113.03°, γ = 113.03°
Element x y z (fractional)
Nd (0.500, 0.246, 0.754)
Nd (0.760, 0.296, 0.296)
Nd (0.000, 0.294, 0.706)
Nd (0.818, 0.758, 0.758)
Nd (0.240, 0.704, 0.704)
Nd (0.182, 0.242, 0.242)
Nd (0.500, 0.754, 0.246)
Nd (0.000, 0.706, 0.294)
Pm (0.500, 0.000, 0.500)
Pm (0.500, 0.500, 0.000)
Pm (0.500, 0.500, 0.500)
Tm (0.000, 0.000, 0.000)
Tm (0.500, 0.000, 0.000)
Tm (0.000, 0.000, 0.500)
Tm (0.000, 0.500, 0.000)

***

No. 14
VASP calculation (PBE-GGA) on an optimized crystal structure of RbNaCuPt2.

Values from the calculation:
Energy of formation (eV per atom): 0.963
Space group: P4/mmm, No. 123

a = 5.037 Å, b = 4.924 Å, c = 5.037 Å
α = 90.00°, β = 90.00°, γ = 90.00°
Element x y z (fractional)
Pt (0.000, 0.000, 0.500)
Pt (0.500, 0.000, 0.000)
Rb (0.500, 0.500, 0.500)
Cu (0.000, 0.500, 0.000)
Na (0.000, 0.000, 0.000)

***

No. 15
VASP calculation (PBE-GGA) on an optimized crystal structure of AlPRh2.

Values from the calculation:
Energy of formation (eV per atom): -0.556
Polymorph energy (0 for the lowest one) (meV/atom): 112.0
Space group: C2/m, No. 12

a = 4.154 Å, b = 4.154 Å, c = 4.953 Å
α = 78.51°, β = 78.51°, γ = 41.69°
Element x y z (fractional)
Rh (0.004, 0.004, 0.987)
Rh (0.496, 0.496, 0.513)
P (0.750, 0.750, 0.750)
Al (0.250, 0.250, 0.250)

***

No. 16
VASP calculation (PBE-GGA) on an optimized crystal structure of LaCuSnH.

Values from the calculation:
Space group: P3m1, No. 156
Total energy (eV/atom): -4.628

a = 4.498 Å, b = 4.498 Å, c = 4.358 Å
α = 89.98°, β = 90.00°, γ = 120.00°
Element x y z (fractional)
Sn (0.905, 0.811, 0.797)
Cu (0.239, 0.477, 0.875)
La (0.572, 0.144, 0.313)
H (0.239, 0.477, 0.254)

***

No. 17
VASP calculation (PBE-GGA) on an optimized crystal structure of Ti12Sn3Mo.

Values from the calculation:
Energy of formation (eV per atom): -0.222
Space group: Pmmm, No. 47

a = 5.240 Å, b = 5.239 Å, c = 10.281 Å
α = 90.00°, β = 90.00°, γ = 90.00°
Element x y z (fractional)
Ti (0.750, 0.500, 0.000)
Ti (0.757, 0.500, 0.500)
Ti (0.500, 0.000, 0.878)
Ti (0.000, 0.247, 0.265)
Ti (0.243, 0.500, 0.500)
Ti (0.500, 0.000, 0.377)
Ti (0.500, 0.000, 0.623)
Ti (0.500, 0.000, 0.122)
Ti (0.000, 0.753, 0.735)
Ti (0.000, 0.753, 0.265)
Ti (0.000, 0.247, 0.735)
Ti (0.250, 0.500, 0.000)
Sn (0.500, 0.500, 0.250)
Sn (0.500, 0.500, 0.750)
Sn (0.000, 0.000, 0.000)
Mo (0.000, 0.000, 0.500)

***

No. 18
VASP calculation (PBE-GGA) on an optimized crystal structure of AcPuTlGa.

Values from the calculation:
Energy of formation (eV per atom): -0.173
Space group: F-43m, No. 216

a = 5.518 Å, b = 5.518 Å, c = 5.518 Å
α = 60.00°, β = 60.00°, γ = 60.00°
Element x y z (fractional)
Pu (0.750, 0.750, 0.750)
Tl (0.000, 0.000, 0.000)
Ac (0.250, 0.250, 0.250)
Ga (0.500, 0.500, 0.500)

***

No. 19
VASP calculation (PBE-GGA) on an optimized crystal structure of CaTb7Ho2.

Values from the calculation:
Energy of formation (eV per atom): 0.050
Space group: P-1, No. 2

a = 6.185 Å, b = 9.488 Å, c = 9.468 Å
α = 130.21°, β = 109.05°, γ = 102.48°
Element x y z (fractional)
Tb (0.896, 0.100, 0.403)
Tb (0.798, 0.204, 0.799)
Tb (0.708, 0.313, 0.209)
Tb (0.500, 0.500, 0.000)
Tb (0.202, 0.796, 0.201)
Tb (0.104, 0.900, 0.597)
Tb (0.292, 0.687, 0.791)
Ho (0.399, 0.604, 0.399)
Ho (0.601, 0.396, 0.601)
Ca (0.000, 0.000, 0.000)

***

No. 20
VASP calculation (PBE-GGA) on an optimized crystal structure of Dy2Y3Pd2.

Values from the calculation:
Energy of formation (eV per atom): -0.516
Polymorph energy (0 for the lowest one) (meV/atom): 0.0
Space group: C2/m, No. 12

a = 3.706 Å, b = 6.484 Å, c = 9.136 Å
α = 115.30°, β = 90.00°, γ = 106.60°
Element x y z (fractional)
Y (0.612, 0.225, 0.438)
Y (0.500, 0.000, 0.000)
Y (0.388, 0.775, 0.562)
Dy (0.840, 0.679, 0.186)
Dy (0.160, 0.321, 0.814)
Pd (0.174, 0.348, 0.235)
Pd (0.826, 0.652, 0.765)

***

One value per record, in order, for theoretical density: 18.8 2.9 7.9 12.3 10.7 8.9 7.0 4.0 9.8 2.8 8.9 6.4 7.3 7.5 7.9 7.0 6.0 10.4 7.6 7.1 g/cm3.